Hf2Co7 | PBE-GGA | optimized geometry

Calculated values
**Size of the total moment**: 14.87 Bohr magnetons per cell
**Uncorrected energy**: -143.563 eV/cell

```
Hf2Co7
1.0
-2.5345 3.4454 -2.1297
-2.1392 -0.8488 -4.1874
-11.2789 -2.7613 3.5956
Co Hf
14 4
Direct
0.7223 0.7223 0.8330
0.3898 0.3898 0.8307
0.3872 0.3872 0.3331
0.5000 0.0000 0.0000
0.1075 0.6128 0.6669
0.0000 0.5000 0.0000
0.8925 0.3872 0.3331
0.6128 0.6128 0.6669
0.3872 0.8925 0.3331
0.6128 0.1075 0.6669
0.6102 0.6102 0.1693
0.5000 0.5000 0.5000
0.5000 0.5000 0.0000
0.2777 0.2777 0.1670
0.8526 0.8526 0.4422
0.0508 0.0508 0.8477
0.9492 0.9492 0.1523
0.1474 0.1474 0.5578
```

***

ZnGa4Sn | PBE-GGA | optimized geometry

Calculated values
**Size of the total moment**: 0.00 Bohr magnetons per cell
**Uncorrected energy**: -16.949 eV/cell

```
ZnGa4Sn
1.0
-3.7649 -3.0000 -1.1020
4.4826 -1.8806 0.8708
-1.2746 -0.4520 5.5849
Sn Ga Zn
1 4 1
Direct
0.0000 0.0000 0.5000
0.6667 0.3333 0.7573
0.3333 0.6667 0.2427
0.6667 0.3333 0.2427
0.3333 0.6667 0.7573
0.0000 0.0000 0.0000
```

***

AlPb3N3 | PBE-GGA | optimized geometry

Calculated values
**E_form (uncorrected)**: 0.07 eV per atom
**Size of the total moment**: 0.00 Bohr magnetons per cell
**Uncorrected energy**: -78.642 eV/cell

```
AlPb3N3
1.0
-1.8160 6.3716 -8.0031
0.0146 3.7188 9.7013
3.5604 0.6804 -0.2662
N Pb Al
6 6 2
Direct
0.8654 0.4647 0.7500
0.4647 0.5992 0.2500
0.5992 0.1346 0.7500
0.1346 0.5353 0.2500
0.4008 0.8654 0.2500
0.5353 0.4008 0.7500
0.3420 0.9725 0.7500
0.9725 0.6306 0.2500
0.6580 0.0275 0.2500
0.3694 0.3420 0.2500
0.0275 0.3694 0.7500
0.6306 0.6580 0.7500
0.3333 0.6667 0.2500
0.6667 0.3333 0.7500
```

***

Re3TcCl | PBE-GGA | optimized geometry

Calculated values
**E_form (uncorrected)**: 1.74 eV per atom
**Size of the total moment**: 1.31 Bohr magnetons per cell
**Uncorrected energy**: -40.848 eV/cell

```
Re3TcCl
1.0
-0.8932 -4.2009 -0.4377
2.4858 -0.1611 -3.5259
3.4147 -0.9816 2.4522
Tc Re Cl
1 3 1
Direct
0.5000 0.5000 0.5000
0.0000 0.5000 0.0000
0.0000 0.0000 0.5000
0.5000 0.0000 0.0000
0.0000 0.0000 0.0000
```

***

Li2Mg2Cr | PBE-GGA | optimized geometry

Calculated values
**Size of the total moment**: 0.03 Bohr magnetons per cell
**Uncorrected energy**: -27.178 eV/cell

```
Li2Mg2Cr
1.0
-1.7875 6.2882 -4.2088
-0.0146 -4.3275 -6.4593
-2.7051 -0.5281 0.3599
Cr Li Mg
2 4 4
Direct
0.0000 0.0000 0.0000
0.5000 0.5000 0.0000
0.1479 0.6479 0.5000
0.3521 0.1479 0.5000
0.6479 0.8521 0.5000
0.8521 0.3521 0.5000
0.6537 0.1537 0.0000
0.3463 0.8463 0.0000
0.8463 0.6537 0.0000
0.1537 0.3463 0.0000
```

***

Pr6Er4Tm | PBE-GGA | optimized geometry

Calculated values
**Size of the total moment**: 0.00 Bohr magnetons per cell
**Uncorrected energy**: -48.157 eV/cell

```
Pr6Er4Tm
1.0
-6.1226 -2.9289 -0.7964
0.8761 -3.4220 5.8499
-0.8574 9.3306 1.5952
Er Pr Tm
4 6 1
Direct
0.0624 0.0624 0.7758
0.7134 0.7134 0.7758
0.9376 0.2866 0.2242
0.2866 0.9376 0.2242
0.5000 0.0000 0.0000
0.4861 0.4861 0.3572
0.8711 0.8711 0.3572
0.1289 0.5139 0.6428
0.5139 0.1289 0.6428
0.0000 0.5000 0.0000
0.5000 0.5000 0.0000
```

***

PrTm12Tl3 | PBE-GGA | optimized geometry

Calculated values
**Size of the total moment**: 0.02 Bohr magnetons per cell
**Uncorrected energy**: -67.233 eV/cell

```
PrTm12Tl3
1.0
4.8156 0.0000 0.0000
0.0000 4.8156 0.0000
0.0000 0.0000 19.6730
Tm Tl Pr
12 3 1
Direct
0.5000 0.5000 0.0000
0.0000 0.5000 0.1320
0.5000 0.0000 0.3779
0.5000 0.0000 0.8680
0.5000 0.5000 0.5000
0.0000 0.5000 0.6221
0.0000 0.5000 0.8680
0.0000 0.5000 0.3779
0.5000 0.5000 0.2566
0.5000 0.0000 0.6221
0.5000 0.0000 0.1320
0.5000 0.5000 0.7434
0.0000 0.0000 0.2572
0.0000 0.0000 0.5000
0.0000 0.0000 0.7428
0.0000 0.0000 0.0000
```

***

FeMoW | PBE-GGA | optimized geometry

Calculated values
**Size of the total moment**: 0.38 Bohr magnetons per cell
**Uncorrected energy**: -31.723 eV/cell

```
FeMoW
1.0
6.1732 0.0071 0.0000
4.9911 3.6328 0.0000
-5.5821 -1.8200 1.9068
W Fe Mo
1 1 1
Direct
0.6528 0.6528 0.0000
0.9996 0.9996 0.0000
0.3476 0.3476 0.0000
```

***

SmAgPdPt | PBE-GGA | optimized geometry

Calculated values
**Size of the total moment**: 0.00 Bohr magnetons per cell
**Uncorrected energy**: -21.541 eV/cell

```
SmAgPdPt
1.0
4.0444 0.0000 0.0000
0.0000 4.2576 0.0000
0.0000 0.0000 4.4165
Pt Ag Sm Pd
1 1 1 1
Direct
0.0000 0.0000 0.0000
0.5000 0.0000 0.5000
0.5000 0.5000 0.0000
0.0000 0.5000 0.5000
```

***

YZrAs2 | PBE-GGA | optimized geometry

Calculated values
**Size of the total moment**: 0.00 Bohr magnetons per cell
**Uncorrected energy**: -29.614 eV/cell

```
YZrAs2
1.0
6.9518 -0.0002 -0.0001
5.8168 3.8068 -0.0001
5.8168 1.7341 3.3889
Zr As Y
1 2 1
Direct
0.7500 0.7500 0.7500
0.4955 0.4955 0.4955
0.0045 0.0045 0.0045
0.2500 0.2500 0.2500
```

***

TcAuC2Br | PBE-GGA | optimized geometry

Calculated values
**E_form (uncorrected)**: 1.46 eV per atom
**Size of the total moment**: 0.00 Bohr magnetons per cell
**Uncorrected energy**: -26.478 eV/cell

```
TcAuC2Br
1.0
3.9573 0.0000 0.0000
0.0000 5.6475 0.0000
0.0000 0.0000 3.9573
Au Tc Br C
1 1 1 2
Direct
0.5000 0.5000 0.5000
0.0000 0.0000 0.0000
0.0000 0.5000 0.0000
0.0000 0.0000 0.5000
0.5000 0.0000 0.0000
```

***

LaFe3Se | PBE-GGA | optimized geometry

Calculated values
**E_form (uncorrected)**: 1.61 eV per atom
**Size of the total moment**: 5.70 Bohr magnetons per cell
**Uncorrected energy**: -25.731 eV/cell

```
LaFe3Se
1.0
-0.5690 -0.1520 -4.6312
-0.7874 -4.5949 0.2476
-4.5663 0.8113 0.5344
Se Fe La
1 3 1
Direct
0.5000 0.5000 0.5000
0.5000 0.0000 0.0000
0.0000 0.0000 0.5000
0.0000 0.5000 0.0000
0.0000 0.0000 0.0000
```